[1]
# NaTe2N | the Alexandria database | PBE-GGA | optimized geometry
# Uncorrected energy = -14.44 eV/f.u.
# Energy relative to the elements, uncorrected = 35.98 kJ per mole of atoms
# E above lowest polymorph = 0.000 eV/atom
data_NaTe2N
_chemical_formula_sum 'Na4 Te8 N4'
_cell_length_a 7.125
_cell_length_b 7.125
_cell_length_c 8.257
_cell_angle_alpha 90.00
_cell_angle_beta 90.00
_cell_angle_gamma 90.00
_space_group_name_H-M_alt 'I -4 2 d'
_space_group_IT_number 122
_space_group_name_Hall 'I -4 2bw'
loop_
_atom_site_label
_atom_site_type_symbol
_atom_site_fract_x
_atom_site_fract_y
_atom_site_fract_z
Na1 Na 0.000 0.000 0.000
Te1 Te 0.137 0.250 0.625
N1 N 0.000 0.000 0.500


[2]
# NaTiTeN2 | the Alexandria database | PBE-GGA | optimized geometry
# Uncorrected energy = -20.30 eV/f.u.
# Energy relative to the elements, uncorrected = 168.00 kJ per mole of atoms
# E above lowest polymorph = 1.554 eV/atom
data_NaTiTeN2
_chemical_formula_sum 'Na1 Ti1 Te1 N2'
_cell_length_a 4.271
_cell_length_b 4.271
_cell_length_c 5.655
_cell_angle_alpha 90.00
_cell_angle_beta 90.00
_cell_angle_gamma 90.00
_space_group_name_H-M_alt 'P 4/m m m'
_space_group_IT_number 123
_space_group_name_Hall '-P 4 2'
loop_
_atom_site_label
_atom_site_type_symbol
_atom_site_fract_x
_atom_site_fract_y
_atom_site_fract_z
Na1 Na 0.000 0.000 0.000
Ti1 Ti 0.500 0.500 0.500
Te1 Te 0.000 0.000 0.500
N1 N 0.000 0.500 0.000


[3]
# NaTiTeN2 | the Alexandria database | PBE-GGA | optimized geometry
# Uncorrected energy = -28.07 eV/f.u.
# Energy relative to the elements, uncorrected = 18.02 kJ per mole of atoms
# E above lowest polymorph = 0.000 eV/atom
data_NaTiTeN2
_chemical_formula_sum 'Na1 Ti1 Te1 N2'
_cell_length_a 4.027
_cell_length_b 4.027
_cell_length_c 5.681
_cell_angle_alpha 90.00
_cell_angle_beta 90.00
_cell_angle_gamma 90.00
_space_group_name_H-M_alt 'P 4/m m m'
_space_group_IT_number 123
_space_group_name_Hall '-P 4 2'
loop_
_atom_site_label
_atom_site_type_symbol
_atom_site_fract_x
_atom_site_fract_y
_atom_site_fract_z
Na1 Na 0.000 0.000 0.000
Ti1 Ti 0.500 0.500 0.500
Te1 Te 0.500 0.500 0.000
N1 N 0.000 0.500 0.500


[4]
# NaTlTeN2 | the Alexandria database | PBE-GGA | optimized geometry
# Uncorrected energy = -15.47 eV/f.u.
# Energy relative to the elements, uncorrected = 154.47 kJ per mole of atoms
# E above lowest polymorph = 0.222 eV/atom
data_NaTlTeN2
_chemical_formula_sum 'Na1 Tl1 Te1 N2'
_cell_length_a 4.685
_cell_length_b 4.685
_cell_length_c 6.157
_cell_angle_alpha 90.00
_cell_angle_beta 90.00
_cell_angle_gamma 90.00
_space_group_name_H-M_alt 'P 4/m m m'
_space_group_IT_number 123
_space_group_name_Hall '-P 4 2'
loop_
_atom_site_label
_atom_site_type_symbol
_atom_site_fract_x
_atom_site_fract_y
_atom_site_fract_z
Na1 Na 0.000 0.000 0.000
Tl1 Tl 0.500 0.500 0.500
Te1 Te 0.000 0.000 0.500
N1 N 0.000 0.500 0.000


[5]
# NaTlTe2N | the Alexandria database | PBE-GGA | optimized geometry
# Uncorrected energy = -13.67 eV/f.u.
# Energy relative to the elements, uncorrected = 89.28 kJ per mole of atoms
# E above lowest polymorph = 0.183 eV/atom
data_NaTlTe2N
_chemical_formula_sum 'Na1 Tl1 Te2 N1'
_cell_length_a 5.766
_cell_length_b 5.766
_cell_length_c 4.763
_cell_angle_alpha 90.00
_cell_angle_beta 90.00
_cell_angle_gamma 90.00
_space_group_name_H-M_alt 'P 4/m m m'
_space_group_IT_number 123
_space_group_name_Hall '-P 4 2'
loop_
_atom_site_label
_atom_site_type_symbol
_atom_site_fract_x
_atom_site_fract_y
_atom_site_fract_z
Na1 Na 0.000 0.000 0.000
Tl1 Tl 0.500 0.500 0.500
Te1 Te 0.000 0.500 0.000
N1 N 0.000 0.000 0.500


[6]
# NaTlTe2N | the Alexandria database | PBE-GGA | optimized geometry
# Uncorrected energy = -14.58 eV/f.u.
# Energy relative to the elements, uncorrected = 71.63 kJ per mole of atoms
# E above lowest polymorph = 0.000 eV/atom
data_NaTlTe2N
_chemical_formula_sum 'Na1 Tl1 Te2 N1'
_cell_length_a 6.089
_cell_length_b 6.089
_cell_length_c 4.318
_cell_angle_alpha 90.00
_cell_angle_beta 90.00
_cell_angle_gamma 90.00
_space_group_name_H-M_alt 'P 4/m m m'
_space_group_IT_number 123
_space_group_name_Hall '-P 4 2'
loop_
_atom_site_label
_atom_site_type_symbol
_atom_site_fract_x
_atom_site_fract_y
_atom_site_fract_z
Na1 Na 0.000 0.000 0.000
Tl1 Tl 0.500 0.500 0.500
Te1 Te 0.000 0.500 0.500
N1 N 0.500 0.500 0.000


[7]
# NaTlTeN2 | the Alexandria database | PBE-GGA | optimized geometry
# Uncorrected energy = -16.58 eV/f.u.
# Energy relative to the elements, uncorrected = 133.01 kJ per mole of atoms
# E above lowest polymorph = 0.000 eV/atom
data_NaTlTeN2
_chemical_formula_sum 'Na1 Tl1 Te1 N2'
_cell_length_a 4.588
_cell_length_b 4.588
_cell_length_c 6.147
_cell_angle_alpha 90.00
_cell_angle_beta 90.00
_cell_angle_gamma 90.00
_space_group_name_H-M_alt 'P 4/m m m'
_space_group_IT_number 123
_space_group_name_Hall '-P 4 2'
loop_
_atom_site_label
_atom_site_type_symbol
_atom_site_fract_x
_atom_site_fract_y
_atom_site_fract_z
Na1 Na 0.000 0.000 0.000
Tl1 Tl 0.500 0.500 0.500
Te1 Te 0.500 0.500 0.000
N1 N 0.000 0.500 0.500


[8]
# NaVTeN2 | the Alexandria database | PBE-GGA | optimized geometry
# Uncorrected energy = -28.98 eV/f.u.
# Energy relative to the elements, uncorrected = 24.04 kJ per mole of atoms
# E above lowest polymorph = 0.000 eV/atom
data_NaVTeN2
_chemical_formula_sum 'Na1 V1 Te1 N2'
_cell_length_a 3.895
_cell_length_b 3.895
_cell_length_c 5.552
_cell_angle_alpha 90.00
_cell_angle_beta 90.00
_cell_angle_gamma 90.00
_space_group_name_H-M_alt 'P 4/m m m'
_space_group_IT_number 123
_space_group_name_Hall '-P 4 2'
loop_
_atom_site_label
_atom_site_type_symbol
_atom_site_fract_x
_atom_site_fract_y
_atom_site_fract_z
Na1 Na 0.000 0.000 0.000
V1 V 0.500 0.500 0.500
Te1 Te 0.500 0.500 0.000
N1 N 0.000 0.500 0.500


| no. | spin magnetization (μB/cell) |
| --- | --- |
| 1 | 0.00 |
| 2 | 3.00 |
| 3 | 1.12 |
| 4 | 5.18 |
| 5 | 3.67 |
| 6 | 2.62 |
| 7 | 4.07 |
| 8 | 0.79 |